# 1
This record from Alexandria via LeMat-Bulk describes TcTePbO6 after structural relaxation. The functional is PBE-GGA.

Results
Raw formation energy (eV per formula unit): -10.6

Cell lengths 5.4153, 5.4153, 5.3139 Å; angles 90.00, 90.00, 120.00 degrees
Closest atoms and distances in Å follow each position.
Sites, in units of the cell vectors:
Tc  0.0000  0.0000  0.0000  6 O 1.98
Te  0.3333  0.6667  0.0000  6 O 2.07
Pb  0.6667  0.3333  0.5000  6 O 2.56
O  0.0361  0.3205  0.2065  1 Tc 1.98, 1 Te 2.07
O  0.0361  0.7156  0.7935  1 Tc 1.98, 1 Te 2.07
O  0.2844  0.3205  0.7935  1 Tc 1.98, 1 Te 2.07
O  0.2844  0.9639  0.2065  1 Tc 1.98, 1 Te 2.07
O  0.6795  0.7156  0.2065  1 Tc 1.98, 1 Te 2.07
O  0.6795  0.9639  0.7935  1 Tc 1.98, 1 Te 2.07

***

# 2
This record from Alexandria via LeMat-Bulk describes Pr8Dy6Y after structural relaxation. The functional is PBE-GGA.

Results
Energy of formation from the pure elements (kJ/mol of formula units): 180

Cell lengths 8.8198, 8.8198, 8.8198 Å; angles 62.89, 62.89, 62.89 degrees
Closest atoms and distances in Å follow each position.
Sites, in units of the cell vectors:
Pr  0.0783  0.0783  0.0783  4 Pr 3.31-3.48, 3 Dy 3.39
Pr  0.2156  0.2519  0.6128  3 Dy 3.48-3.88, 5 Pr 3.48-3.50, 1 Y 3.58
Pr  0.2519  0.6128  0.2156  3 Dy 3.48-3.88, 5 Pr 3.48-3.50, 1 Y 3.58
Pr  0.3872  0.7844  0.7481  3 Dy 3.48-3.88, 5 Pr 3.48-3.50, 1 Y 3.58
Pr  0.6128  0.2156  0.2519  3 Dy 3.48-3.88, 5 Pr 3.48-3.50, 1 Y 3.58
Pr  0.7481  0.3872  0.7844  3 Dy 3.48-3.88, 5 Pr 3.48-3.50, 1 Y 3.58
Pr  0.7844  0.7481  0.3872  3 Dy 3.48-3.88, 5 Pr 3.48-3.50, 1 Y 3.58
Pr  0.9217  0.9217  0.9217  4 Pr 3.31-3.48, 3 Dy 3.39
Dy  0.0391  0.7489  0.5956  3 Pr 3.39-3.49, 1 Y 3.53, 3 Dy 3.59-3.80
Dy  0.2511  0.4044  0.9609  3 Pr 3.39-3.49, 1 Y 3.53, 3 Dy 3.59-3.80
Dy  0.4044  0.9609  0.2511  3 Pr 3.39-3.49, 1 Y 3.53, 3 Dy 3.59-3.80
Dy  0.5956  0.0391  0.7489  3 Pr 3.39-3.49, 1 Y 3.53, 3 Dy 3.59-3.80
Dy  0.7489  0.5956  0.0391  3 Pr 3.39-3.49, 1 Y 3.53, 3 Dy 3.59-3.80
Dy  0.9609  0.2511  0.4044  3 Pr 3.39-3.49, 1 Y 3.53, 3 Dy 3.59-3.80
Y  0.5000  0.5000  0.5000  6 Dy 3.53, 6 Pr 3.58

***

# 3
This record from Alexandria via LeMat-Bulk describes Dy4YAl5 after structural relaxation. The functional is PBE-GGA.

Results
Energy of formation from the pure elements (kJ/mol of formula units): -385

Cell lengths 3.5888, 3.5888, 18.1146 Å; angles 90.00, 90.00, 90.00 degrees
Closest atoms and distances in Å follow each position.
Sites, in units of the cell vectors:
Dy  0.0000  0.0000  0.0998  8 Al 3.12
Dy  0.0000  0.0000  0.2994  8 Al 3.12
Dy  0.0000  0.0000  0.7006  8 Al 3.12
Dy  0.0000  0.0000  0.9002  8 Al 3.12
Y  0.0000  0.0000  0.5000  8 Al 3.12
Al  0.5000  0.5000  0.0000  8 Dy 3.12
Al  0.5000  0.5000  0.1996  8 Dy 3.12
Al  0.5000  0.5000  0.3994  4 Dy 3.12, 4 Y 3.12
Al  0.5000  0.5000  0.6006  4 Dy 3.12, 4 Y 3.12
Al  0.5000  0.5000  0.8004  8 Dy 3.12

***

# 4
This record from Alexandria via LeMat-Bulk describes Sr2AuSe after structural relaxation. The functional is PBE-GGA.

Results
Raw formation energy (eV per formula unit): -5.2

Cell lengths 7.9041, 7.9041, 7.9041 Å; angles 32.84, 32.84, 32.84 degrees
Closest atoms and distances in Å follow each position.
Sites, in units of the cell vectors:
Sr  0.2484  0.2484  0.2484  3 Se 3.16, 3 Au 3.21
Sr  0.7516  0.7516  0.7516  3 Se 3.16, 3 Au 3.21
Au  0.0000  0.0000  0.0000  6 Sr 3.21
Se  0.5000  0.5000  0.5000  6 Sr 3.16

***

# 5
This record from Alexandria via LeMat-Bulk describes KScTi after structural relaxation. The functional is PBE-GGA.

Results
Offset from the most stable computed form (meV per atom): 614.9
Energy of formation from the pure elements (kJ/mol of formula units): 247

Cell lengths 4.5286, 4.5286, 10.3237 Å; angles 90.00, 90.00, 90.00 degrees
Closest atoms and distances in Å follow each position.
Sites, in units of the cell vectors:
K  0.2500  0.2500  0.1419  4 Ti 3.63
K  0.7500  0.7500  0.8581  4 Ti 3.63
Sc  0.2500  0.7500  0.5000  4 Ti 3.01, 4 Sc 3.20
Sc  0.7500  0.2500  0.5000  4 Ti 3.01, 4 Sc 3.20
Ti  0.2500  0.2500  0.6918  4 Sc 3.01
Ti  0.7500  0.7500  0.3082  4 Sc 3.01

***

# 6
This record from Alexandria via LeMat-Bulk describes La3ZrRe after structural relaxation. The functional is PBE-GGA.

Results
Offset from the most stable computed form (meV per atom): 958.8
Energy of formation from the pure elements (kJ/mol of formula units): 730

Cell lengths 5.4508, 5.4508, 5.4508 Å; angles 90.00, 90.00, 90.00 degrees
Closest atoms and distances in Å follow each position.
Sites, in units of the cell vectors:
La  0.0000  0.0000  0.5000  2 Zr 2.73
La  0.0000  0.5000  0.0000  2 Zr 2.73
La  0.5000  0.0000  0.0000  2 Zr 2.73
Zr  0.0000  0.0000  0.0000  6 La 2.73
Re  0.5000  0.5000  0.5000  12 La 3.85